! Zr2V6Sb9 GGA-PBE relaxed; values from VASP
! **Final energy**: -227.2 eV per cell
! **Space group**: P4/nmm
! **Calculated density**: 7.62 g cm⁻³
&SYSTEM
  ibrav = 0, nat = 34, ntyp = 3
/
ATOMIC_SPECIES
V 50.94 V.upf
Sb 121.76 Sb.upf
Zr 91.22 Zr.upf
CELL_PARAMETERS angstrom
9.7612 0.0000 0.0000
0.0000 9.7612 0.0000
0.0000 0.0000 7.2428
ATOMIC_POSITIONS angstrom
V 4.8806 6.2212 1.1397
V 3.5400 4.8806 6.1031
V 1.3406 0.0000 1.1397
V 7.3209 2.4403 0.0000
V 0.0000 8.4207 6.1031
V 6.2212 4.8806 6.1031
V 8.4207 0.0000 1.1397
V 2.4403 7.3209 0.0000
V 4.8806 3.5400 1.1397
V 7.3209 7.3209 0.0000
V 0.0000 1.3406 6.1031
V 2.4403 2.4403 0.0000
Sb 4.8806 4.8806 3.6214
Sb 7.3491 4.8806 1.3305
Sb 0.0000 2.4684 1.3305
Sb 0.0000 0.0000 3.6214
Sb 8.0754 3.1948 4.7440
Sb 4.8806 2.4122 5.9123
Sb 6.5665 8.0754 2.4988
Sb 1.6859 6.5665 4.7440
Sb 3.1948 1.6859 2.4988
Sb 0.0000 7.2928 1.3305
Sb 7.2928 0.0000 5.9123
Sb 4.8806 7.3491 5.9123
Sb 3.1948 8.0754 2.4988
Sb 2.4122 4.8806 1.3305
Sb 8.0754 6.5665 4.7440
Sb 1.6859 3.1948 4.7440
Sb 2.4684 0.0000 5.9123
Sb 6.5665 1.6859 2.4988
Zr 4.8806 0.0000 4.2321
Zr 0.0000 4.8806 6.6321
Zr 4.8806 0.0000 0.6107
Zr 0.0000 4.8806 3.0107

***

! SiSnAs2Se GGA-PBE relaxed; values from VASP
! **Final energy**: -20.4 eV per cell
! **Space group**: P4/mmm
! **Calculated density**: 5.44 g cm⁻³
! **Energy above the lowest structure with this stoichiometry**: 0 meV per atom
&SYSTEM
  ibrav = 0, nat = 5, ntyp = 4
/
ATOMIC_SPECIES
Si 28.09 Si.upf
Sn 118.71 Sn.upf
As 74.92 As.upf
Se 78.96 Se.upf
CELL_PARAMETERS angstrom
-1.0361 4.4495 1.5620
-1.9386 -1.8597 4.0118
4.3757 0.2379 2.2247
ATOMIC_POSITIONS angstrom
Si 0.0000 0.0000 0.0000
Sn 0.7005 1.4139 3.8992
As -0.9693 -0.9299 2.0059
As -0.5180 2.2248 0.7810
Se 2.1879 0.1190 1.1123

***

! NaLaHf3 GGA-PBE relaxed; values from VASP
! **Final energy**: -28.6 eV per cell
! **Space group**: Pm-3m
! **Calculated density**: 7.82 g cm⁻³
! **Energy above the lowest structure with this stoichiometry**: 187 meV per atom
&SYSTEM
  ibrav = 0, nat = 5, ntyp = 3
/
ATOMIC_SPECIES
Hf 178.49 Hf.upf
Na 22.99 Na.upf
La 138.91 La.upf
CELL_PARAMETERS angstrom
5.2901 0.0000 0.0000
0.0000 5.2901 0.0000
0.0000 0.0000 5.2901
ATOMIC_POSITIONS angstrom
Hf 2.6450 0.0000 0.0000
Hf 0.0000 0.0000 2.6450
Hf 0.0000 2.6450 0.0000
Na 2.6450 2.6450 2.6450
La 0.0000 0.0000 0.0000

***

! RbCd2AgBr6 GGA-PBE relaxed; values from VASP
! **Final energy**: -49.7 eV per cell
! **Space group**: C2/c
! **Calculated density**: 3.70 g cm⁻³
&SYSTEM
  ibrav = 0, nat = 20, ntyp = 4
/
ATOMIC_SPECIES
Cd 112.41 Cd.upf
Br 79.90 Br.upf
Ag 107.87 Ag.upf
Rb 85.47 Rb.upf
CELL_PARAMETERS angstrom
8.1315 0.0102 0.0106
2.6226 9.9554 0.0308
2.6226 -0.3382 9.9497
ATOMIC_POSITIONS angstrom
Cd 7.2361 2.2291 3.8188
Cd 6.1406 7.3983 6.1723
Cd 10.2063 5.8989 7.6273
Cd 3.1703 3.7285 2.3638
Br 10.9186 3.5713 8.6482
Br 9.7885 2.9218 4.3894
Br 6.1046 9.2358 8.0499
Br 3.5881 6.7056 5.6016
Br 5.7228 4.2730 3.0772
Br 7.2720 0.3916 1.9412
Br 7.6539 5.3544 6.9139
Br 10.1704 7.7071 9.5331
Br 6.8529 8.5049 3.8840
Br 2.4580 6.0561 1.3428
Br 6.5238 1.1225 6.1070
Br 3.2062 1.9203 0.4580
Ag 8.7212 7.6909 2.2281
Ag 4.6554 1.9365 7.7629
Rb 8.7212 0.9628 8.7113
Rb 4.6554 8.6646 1.2797

***

! ScBi3Au GGA-PBE relaxed; values from VASP
! **Final energy**: -19.2 eV per cell
! **Space group**: Pm-3m
! **Calculated density**: 8.56 g cm⁻³
! **Energy above the lowest structure with this stoichiometry**: 41 meV per atom
&SYSTEM
  ibrav = 0, nat = 5, ntyp = 3
/
ATOMIC_SPECIES
Au 196.97 Au.upf
Sc 44.96 Sc.upf
Bi 208.98 Bi.upf
CELL_PARAMETERS angstrom
5.5244 0.0000 0.0000
0.0000 5.5244 0.0000
0.0000 0.0000 5.5244
ATOMIC_POSITIONS angstrom
Au 0.0000 0.0000 0.0000
Sc 2.7622 2.7622 2.7622
Bi 0.0000 0.0000 2.7622
Bi 0.0000 2.7622 0.0000
Bi 2.7622 0.0000 0.0000

***

! MnFeS2 GGA-PBE relaxed; values from VASP
! **Final energy**: -54.1 eV per cell
! **Space group**: I-42d
! **Calculated density**: 4.77 g cm⁻³
! **Energy above the lowest structure with this stoichiometry**: 248 meV per atom
&SYSTEM
  ibrav = 0, nat = 8, ntyp = 3
/
ATOMIC_SPECIES
Fe 55.84 Fe.upf
Mn 54.94 Mn.upf
S 32.06 S.upf
CELL_PARAMETERS angstrom
4.9629 0.0000 0.0000
0.0000 4.9629 0.0000
2.4815 2.4815 4.9480
ATOMIC_POSITIONS angstrom
Fe 0.0000 0.0000 0.0000
Fe 4.9629 2.4815 2.4740
Mn 2.4815 4.9629 2.4740
Mn 2.4815 2.4815 0.0000
S 3.7222 3.7139 3.7110
S 6.2037 6.2120 3.7110
S 3.7305 1.2407 1.2370
S 1.2325 3.7222 1.2370

***

! AsNF3 GGA-PBE relaxed; values from VASP
! **Final energy**: -15.5 eV per cell
! **Space group**: Pm-3m
! **Calculated density**: 4.05 g cm⁻³
&SYSTEM
  ibrav = 0, nat = 5, ntyp = 3
/
ATOMIC_SPECIES
F 19.00 F.upf
As 74.92 As.upf
N 14.01 N.upf
CELL_PARAMETERS angstrom
3.9108 0.0000 0.0000
0.0000 3.9108 0.0000
0.0000 0.0000 3.9108
ATOMIC_POSITIONS angstrom
F 0.0000 0.0000 1.9554
F 1.9554 0.0000 0.0000
F 0.0000 1.9554 0.0000
As 1.9554 1.9554 1.9554
N 0.0000 0.0000 0.0000

***

! La4DyAg5 GGA-PBE relaxed; values from VASP
! **Final energy**: -41.3 eV per cell
! **Space group**: P4/mmm
! **Calculated density**: 7.70 g cm⁻³
&SYSTEM
  ibrav = 0, nat = 10, ntyp = 3
/
ATOMIC_SPECIES
Ag 107.87 Ag.upf
La 138.91 La.upf
Dy 162.50 Dy.upf
CELL_PARAMETERS angstrom
3.7430 0.0000 0.0000
0.0000 3.7430 0.0000
0.0000 0.0000 19.3617
ATOMIC_POSITIONS angstrom
Ag 1.8715 1.8715 17.6804
Ag 1.8715 1.8715 1.6812
Ag 1.8715 1.8715 13.6284
Ag 1.8715 1.8715 5.7333
Ag 1.8715 1.8715 9.6808
La 0.0000 0.0000 11.6549
La 0.0000 0.0000 15.6137
La 0.0000 0.0000 7.7068
La 0.0000 0.0000 3.7480
Dy 0.0000 0.0000 0.0000

***

! K3Pb3Au8 GGA-PBE relaxed; values from VASP
! **Final energy**: -42.8 eV per cell
! **Space group**: Immm
! **Calculated density**: 10.48 g cm⁻³
&SYSTEM
  ibrav = 0, nat = 14, ntyp = 3
/
ATOMIC_SPECIES
Pb 207.20 Pb.upf
Au 196.97 Au.upf
K 39.10 K.upf
CELL_PARAMETERS angstrom
-3.5264 -1.7618 -2.9645
0.7454 -9.1568 0.4520
-6.3246 -3.6532 5.5912
ATOMIC_POSITIONS angstrom
Pb -1.7632 -0.8809 -1.4822
Pb -4.8086 -4.8332 4.4892
Pb -0.7705 -7.9767 1.5539
Au -3.3986 -3.7962 2.1956
Au -1.4876 -5.2838 0.8065
Au -6.2309 -4.1818 1.6908
Au -7.6180 -9.2879 2.2722
Au -2.2910 -7.2488 -1.1731
Au -5.7070 -10.7756 0.8831
Au -2.8746 -10.3900 1.3879
Au -6.8146 -7.3229 4.2518
K -5.1524 -10.5129 4.1704
K -3.9532 -4.0588 -1.0917
K -4.5528 -7.2859 1.5393

***

! Rb2MoS4 GGA-PBE relaxed; values from VASP
! **Final energy**: -144.1 eV per cell
! **Space group**: Pnma
! **Calculated density**: 2.90 g cm⁻³
! **Energy above the lowest structure with this stoichiometry**: 0 meV per atom
&SYSTEM
  ibrav = 0, nat = 28, ntyp = 3
/
ATOMIC_SPECIES
S 32.06 S.upf
Mo 95.94 Mo.upf
Rb 85.47 Rb.upf
CELL_PARAMETERS angstrom
-2.8502 -4.3863 -4.8509
3.5673 -7.8437 4.9965
-10.7302 -0.5482 6.8004
ATOMIC_POSITIONS angstrom
S -3.6542 -9.6614 3.0144
S -10.8388 -7.5056 2.6669
S -6.7545 -7.7559 3.1130
S -11.6392 -3.9925 2.5801
S -3.2586 -5.0223 3.8330
S -4.6763 -3.6583 0.8131
S -3.2530 -1.4680 3.2354
S -0.5975 -7.4630 1.8568
S -5.3368 -9.1199 6.1329
S 1.6262 -8.7857 4.3659
S -7.8384 -7.2054 8.4980
S -9.4156 -5.3153 5.0892
S -6.7601 -11.3102 3.7106
S -6.3589 -3.1168 3.9316
S 0.8258 -5.2726 4.2791
S -2.1746 -5.5729 -1.5519
Mo -11.2140 -5.7194 3.8918
Mo 1.2010 -7.0588 3.0542
Mo -4.3878 -3.3313 2.9675
Mo -5.6252 -9.4469 3.9785
Rb -1.9205 -7.9537 5.6974
Rb -9.4004 -8.9044 5.7061
Rb -5.9532 -5.6807 6.0117
Rb -4.0598 -7.0975 0.9343
Rb -0.6127 -3.8738 1.2399
Rb -0.4993 -10.9286 2.3065
Rb -8.0926 -4.8246 1.2486
Rb -9.5138 -1.8497 4.6395

***

! Ac2Dy3Cd4 GGA-PBE relaxed; values from VASP
! **Final energy**: -54.5 eV per cell
! **Space group**: Cmce
! **Calculated density**: 8.26 g cm⁻³
&SYSTEM
  ibrav = 0, nat = 18, ntyp = 3
/
ATOMIC_SPECIES
Cd 112.41 Cd.upf
Ac 227.00 Ac.upf
Dy 162.50 Dy.upf
CELL_PARAMETERS angstrom
7.0096 0.0000 0.0000
0.0000 8.5268 0.0000
-3.5048 0.0000 9.3587
ATOMIC_POSITIONS angstrom
Cd 0.0000 4.1618 6.2478
Cd 3.5048 4.3651 3.1108
Cd 0.0000 8.4252 3.1108
Cd -1.7524 6.3951 7.9930
Cd 5.2572 2.1317 1.3656
Cd 1.7524 2.1317 1.3656
Cd 3.5048 0.1017 6.2478
Cd 1.7524 6.3951 7.9930
Ac 3.5048 7.6789 1.7881
Ac 0.0000 0.8480 7.5705
Ac 3.5048 3.4155 7.5705
Ac 0.0000 5.1114 1.7881
Dy 5.2572 2.1317 4.5373
Dy -1.7524 6.3951 4.8213
Dy 1.7524 6.3951 4.8213
Dy 0.0000 0.0000 0.0000
Dy 3.5048 4.2634 0.0000
Dy 1.7524 2.1317 4.5373

***

! Ca2Sc2Bi2P GGA-PBE relaxed; values from VASP
! **Final energy**: -36.5 eV per cell
! **Space group**: I4/mmm
! **Calculated density**: 5.14 g cm⁻³
&SYSTEM
  ibrav = 0, nat = 7, ntyp = 4
/
ATOMIC_SPECIES
P 30.97 P.upf
Sc 44.96 Sc.upf
Ca 40.08 Ca.upf
Bi 208.98 Bi.upf
CELL_PARAMETERS angstrom
-4.7067 0.1148 -1.4887
-0.6056 -4.6468 1.5564
0.3904 5.0320 7.3428
ATOMIC_POSITIONS angstrom
P 0.0000 0.0000 0.0000
Sc -0.3028 -2.3234 0.7782
Sc -2.3533 0.0574 -0.7444
Ca -4.1483 -0.4445 4.8917
Ca -0.7737 0.9445 2.5188
Bi -1.6715 2.0405 5.4419
Bi -3.2504 -1.5406 1.9686

***

! Tb2DyRu GGA-PBE relaxed; values from VASP
! **Final energy**: -48.6 eV per cell
! **Space group**: Cmcm
! **Calculated density**: 9.03 g cm⁻³
! **Energy above the lowest structure with this stoichiometry**: 19 meV per atom
&SYSTEM
  ibrav = 0, nat = 8, ntyp = 3
/
ATOMIC_SPECIES
Tb 158.93 Tb.upf
Dy 162.50 Dy.upf
Ru 101.07 Ru.upf
CELL_PARAMETERS angstrom
3.9298 -0.1612 0.0000
-1.7190 6.0256 0.0000
0.0000 0.0000 9.1390
ATOMIC_POSITIONS angstrom
Tb 0.0694 1.6948 0.6180
Tb 0.0694 1.6948 3.9515
Tb 2.1413 4.1696 8.5211
Tb 2.1413 4.1696 5.1875
Dy 2.0028 0.8353 6.8543
Dy 0.2080 5.0292 2.2848
Ru 0.1193 2.8864 6.8543
Ru 2.0915 2.9781 2.2848

***

! KNaCa2Ni GGA-PBE relaxed; values from VASP
! **Final energy**: -11.4 eV per cell
! **Space group**: P4/mmm
! **Calculated density**: 1.73 g cm⁻³
! **Energy above the lowest structure with this stoichiometry**: 38 meV per atom
&SYSTEM
  ibrav = 0, nat = 5, ntyp = 4
/
ATOMIC_SPECIES
Ni 58.69 Ni.upf
K 39.10 K.upf
Na 22.99 Na.upf
Ca 40.08 Ca.upf
CELL_PARAMETERS angstrom
5.4935 0.0000 0.0000
0.0000 5.4935 0.0000
0.0000 0.0000 6.3750
ATOMIC_POSITIONS angstrom
Ni 0.0000 0.0000 0.0000
K 0.0000 0.0000 3.1875
Na 2.7468 2.7468 3.1875
Ca 2.7468 0.0000 0.0000
Ca 0.0000 2.7468 0.0000

***

! EuGdPuIn GGA-PBE relaxed; values from VASP
! **Final energy**: -41.4 eV per cell
! **Space group**: F-43m
! **Calculated density**: 9.36 g cm⁻³
&SYSTEM
  ibrav = 0, nat = 4, ntyp = 4
/
ATOMIC_SPECIES
Eu 151.96 Eu.upf
Gd 157.25 Gd.upf
In 114.82 In.upf
Pu 244.00 Pu.upf
CELL_PARAMETERS angstrom
-3.2794 -4.4333 -0.0206
-0.1139 -3.3248 -4.3978
2.1906 -5.0514 0.3050
ATOMIC_POSITIONS angstrom
Eu 0.0000 0.0000 0.0000
Gd -0.6014 -6.4048 -2.0568
In -0.3007 -3.2024 -1.0284
Pu -0.9021 -9.6071 -3.0851

***

! Mn2FeRu GGA-PBE relaxed; values from VASP
! **Final energy**: -35.8 eV per cell
! **Space group**: Cmmm
! **Calculated density**: 9.21 g cm⁻³
! **Energy above the lowest structure with this stoichiometry**: 64 meV per atom
&SYSTEM
  ibrav = 0, nat = 4, ntyp = 3
/
ATOMIC_SPECIES
Fe 55.84 Fe.upf
Mn 54.94 Mn.upf
Ru 101.07 Ru.upf
CELL_PARAMETERS angstrom
-1.6448 -4.0960 0.4144
3.0644 0.0408 -3.2036
1.8349 -0.5600 1.7480
ATOMIC_POSITIONS angstrom
Fe 2.4496 -0.2596 -0.7278
Mn 0.0000 0.0000 0.0000
Mn 0.7098 -2.0276 -1.3946
Ru 0.0950 -2.3280 1.0812

***

! KTeCl GGA-PBE relaxed; values from VASP
! **Final energy**: -8.3 eV per cell
! **Space group**: I4mm
! **Calculated density**: 3.61 g cm⁻³
! **Energy above the lowest structure with this stoichiometry**: 466 meV per atom
&SYSTEM
  ibrav = 0, nat = 3, ntyp = 3
/
ATOMIC_SPECIES
Te 127.60 Te.upf
K 39.10 K.upf
Cl 35.45 Cl.upf
CELL_PARAMETERS angstrom
-4.4000 6.6914 -2.1047
-6.8310 4.5889 -0.9209
-0.0809 1.7490 2.9437
ATOMIC_POSITIONS angstrom
Te -7.5060 8.0961 -1.0314
K -4.1494 5.2268 0.7656
Cl -10.8875 10.9866 -2.8417

***

! LiZnAsSe2 GGA-PBE relaxed; values from VASP
! **Final energy**: -12.9 eV per cell
! **Space group**: P4/mmm
! **Calculated density**: 4.94 g cm⁻³
! **Energy above the lowest structure with this stoichiometry**: 216 meV per atom
&SYSTEM
  ibrav = 0, nat = 5, ntyp = 4
/
ATOMIC_SPECIES
Zn 65.41 Zn.upf
Se 78.96 Se.upf
Li 6.94 Li.upf
As 74.92 As.upf
CELL_PARAMETERS angstrom
4.8131 0.0000 0.0000
0.0000 4.8131 0.0000
0.0000 0.0000 4.4263
ATOMIC_POSITIONS angstrom
Zn 2.4065 2.4065 2.2132
Se 2.4065 0.0000 0.0000
Se 0.0000 2.4065 0.0000
Li 0.0000 0.0000 0.0000
As 0.0000 0.0000 2.2132

***

! ScCd4Pt5 GGA-PBE relaxed; values from VASP
! **Final energy**: -45.4 eV per cell
! **Space group**: P4/mmm
! **Calculated density**: 13.78 g cm⁻³
&SYSTEM
  ibrav = 0, nat = 10, ntyp = 3
/
ATOMIC_SPECIES
Cd 112.41 Cd.upf
Pt 195.08 Pt.upf
Sc 44.96 Sc.upf
CELL_PARAMETERS angstrom
3.4376 0.0000 0.0000
0.0000 3.4376 0.0000
0.0000 0.0000 14.9958
ATOMIC_POSITIONS angstrom
Cd 0.0000 0.0000 3.0291
Cd 0.0000 0.0000 8.9933
Cd 0.0000 0.0000 6.0025
Cd 0.0000 0.0000 11.9667
Pt 1.7188 1.7188 10.5113
Pt 1.7188 1.7188 7.4979
Pt 1.7188 1.7188 4.4845
Pt 1.7188 1.7188 1.4524
Pt 1.7188 1.7188 13.5434
Sc 0.0000 0.0000 0.0000

***

! HfPaAu2 GGA-PBE relaxed; values from VASP
! **Final energy**: -27.0 eV per cell
! **Space group**: Fm-3m
! **Calculated density**: 15.37 g cm⁻³
! **Energy above the lowest structure with this stoichiometry**: 113 meV per atom
&SYSTEM
  ibrav = 0, nat = 4, ntyp = 3
/
ATOMIC_SPECIES
Au 196.97 Au.upf
Pa 231.04 Pa.upf
Hf 178.49 Hf.upf
CELL_PARAMETERS angstrom
4.9702 0.0000 0.0000
2.4851 4.3043 0.0000
2.4851 1.4348 4.0581
ATOMIC_POSITIONS angstrom
Au 2.4851 1.4348 1.0145
Au 7.4553 4.3043 3.0436
Pa 0.0000 0.0000 0.0000
Hf 4.9702 2.8695 2.0291

***

! CsSrCl GGA-PBE relaxed; values from VASP
! **Final energy**: -16.1 eV per cell
! **Space group**: P4/nmm
! **Calculated density**: 2.81 g cm⁻³
&SYSTEM
  ibrav = 0, nat = 6, ntyp = 3
/
ATOMIC_SPECIES
Cl 35.45 Cl.upf
Sr 87.62 Sr.upf
Cs 132.91 Cs.upf
CELL_PARAMETERS angstrom
5.0101 0.0000 0.0000
0.0000 5.0101 0.0000
0.0000 0.0000 12.0320
ATOMIC_POSITIONS angstrom
Cl 0.0000 2.5050 7.8552
Cl 2.5050 0.0000 4.1768
Sr 0.0000 2.5050 10.8668
Sr 2.5050 0.0000 1.1652
Cs 2.5050 0.0000 7.8262
Cs 0.0000 2.5050 4.2058

***

! TlSbBr2 GGA-PBE relaxed; values from VASP
! **Final energy**: -10.3 eV per cell
! **Space group**: Cmm2
! **Calculated density**: 5.95 g cm⁻³
&SYSTEM
  ibrav = 0, nat = 4, ntyp = 3
/
ATOMIC_SPECIES
Br 79.90 Br.upf
Tl 204.38 Tl.upf
Sb 121.76 Sb.upf
CELL_PARAMETERS angstrom
-3.7523 0.0467 -0.4433
2.3342 -0.0753 -2.9706
-0.1572 -11.1208 0.1584
ATOMIC_POSITIONS angstrom
Br -0.7533 -3.1477 -1.6623
Br -0.1521 -10.7608 0.1533
Tl -0.8308 -8.6296 -1.5842
Sb -0.0748 -5.2926 0.0754